An optimized crystal structure of K2AcNi3F12, computed with PBE+U.

Unit cell a=7.017 b=7.017 c=7.017 alpha=64.73 beta=64.73 gamma=64.73
Atoms (fractional coordinates):
1 K 0.111 0.111 0.111
2 K 0.889 0.889 0.889
3 Ac 0.500 0.500 0.500
4 Ni 0.000 0.500 0.500
5 Ni 0.500 0.000 0.500
6 Ni 0.500 0.500 0.000
7 F 0.077 0.636 0.636
8 F 0.234 0.234 0.610
9 F 0.234 0.610 0.234
10 F 0.364 0.364 0.923
11 F 0.364 0.923 0.364
12 F 0.390 0.766 0.766
13 F 0.610 0.234 0.234
14 F 0.636 0.077 0.636
15 F 0.636 0.636 0.077
16 F 0.766 0.390 0.766
17 F 0.766 0.766 0.390
18 F 0.923 0.364 0.364

Properties
raw total energy: -0.3452 Ry/atom
space-group type: R-3m (166)
total moment: 5.00 μB/cell
DOS at the Fermi energy: 6.49 states/eV/f.u.